# 1
# Pr9Nd2Th

An optimized crystal structure of Pr9Nd2Th (PBE-GGA, Alexandria).

Computed properties:
SG: P4/mmm (123)
Energy of formation from the pure elements in eV per atom: 0.03

a b c (Å): 5.225 5.225 15.685
angles (deg): 90.00 90.00 90.00
Fractional positions:
1 Pr 0.000 0.000 0.000
2 Pr 0.000 0.000 0.334
3 Pr 0.000 0.000 0.666
4 Pr 0.000 0.500 0.163
5 Pr 0.000 0.500 0.500
6 Pr 0.000 0.500 0.837
7 Pr 0.500 0.000 0.163
8 Pr 0.500 0.000 0.500
9 Pr 0.500 0.000 0.837
10 Nd 0.500 0.500 0.333
11 Nd 0.500 0.500 0.667
12 Th 0.500 0.500 0.000

***

# 2
# Sr2GaSbPd6

An optimized crystal structure of Sr2GaSbPd6 (PBE-GGA, Alexandria).

Computed properties:
SG: P-1 (2)
Formation energy from raw total energies in eV/atom: -0.5902

a b c (Å): 6.698 6.736 6.769
angles (deg): 61.21 61.49 61.39
Fractional positions:
1 Sr 0.210 0.210 0.211
2 Sr 0.790 0.790 0.789
3 Ga 0.500 0.500 0.500
4 Sb 0.000 0.000 0.000
5 Pd 0.179 0.326 0.632
6 Pd 0.328 0.633 0.177
7 Pd 0.363 0.822 0.674
8 Pd 0.637 0.178 0.326
9 Pd 0.672 0.367 0.823
10 Pd 0.821 0.674 0.368

***

# 3
# CaMg2Os

An optimized crystal structure of CaMg2Os (PBE-GGA, Alexandria).

Computed properties:
SG: Cmmm (65)
Energy of formation from the pure elements in eV per atom: 0.47

a b c (Å): 5.269 5.269 3.061
angles (deg): 90.00 90.00 111.00
Fractional positions:
1 Ca 0.000 0.000 0.000
2 Mg 0.000 0.500 0.500
3 Mg 0.500 0.000 0.500
4 Os 0.500 0.500 0.000

***

# 4
# Cr2CdRu

An optimized crystal structure of Cr2CdRu (PBE-GGA, Alexandria).

Computed properties:
SG: Cmm2 (35)
Energy of formation from the pure elements in eV per atom: 0.36

a b c (Å): 2.691 2.691 8.699
angles (deg): 90.00 90.00 113.23
Fractional positions:
1 Cr 0.000 0.000 0.000
2 Cr 0.500 0.500 0.199
3 Cd 0.500 0.500 0.718
4 Ru 0.000 0.000 0.431

***

# 5
# Cr3BiPd

An optimized crystal structure of Cr3BiPd (PBE-GGA, Alexandria).

Computed properties:
SG: Pm-3m (221)
Polymorph energy (0 for the lowest one) in meV/atom: 1428
Energy of formation from the pure elements in eV per atom: 2.43

a b c (Å): 4.792 4.792 4.792
angles (deg): 90.00 90.00 90.00
Fractional positions:
1 Cr 0.000 0.000 0.500
2 Cr 0.000 0.500 0.000
3 Cr 0.500 0.000 0.000
4 Bi 0.000 0.000 0.000
5 Pd 0.500 0.500 0.500

***

# 6
# Sc2PtW

An optimized crystal structure of Sc2PtW (PBE-GGA, Alexandria).

Computed properties:
SG: R3m (160)
Polymorph energy (0 for the lowest one) in meV/atom: 428
Energy of formation from the pure elements in eV per atom: 0.03

a b c (Å): 9.737 9.737 9.737
angles (deg): 17.93 17.93 17.93
Fractional positions:
1 Sc 0.000 0.000 0.000
2 Sc 0.232 0.232 0.232
3 Pt 0.489 0.489 0.489
4 W 0.747 0.747 0.747

***

# 7
# Ce5Pb3

An optimized crystal structure of Ce5Pb3 (PBE-GGA, Alexandria).

Computed properties:
SG: P6_3/mcm (193)
Energy of formation from the pure elements in eV per atom: -0.32

a b c (Å): 9.535 9.535 6.541
angles (deg): 90.00 90.00 120.00
Fractional positions:
1 Ce 0.000 0.263 0.250
2 Ce 0.000 0.737 0.750
3 Ce 0.263 0.000 0.250
4 Ce 0.263 0.263 0.750
5 Ce 0.333 0.667 0.000
6 Ce 0.333 0.667 0.500
7 Ce 0.667 0.333 0.000
8 Ce 0.667 0.333 0.500
9 Ce 0.737 0.000 0.750
10 Ce 0.737 0.737 0.250
11 Pb 0.000 0.382 0.750
12 Pb 0.000 0.618 0.250
13 Pb 0.382 0.000 0.750
14 Pb 0.382 0.382 0.250
15 Pb 0.618 0.000 0.250
16 Pb 0.618 0.618 0.750

***

# 8
# VReNi2I

An optimized crystal structure of VReNi2I (PBE-GGA, Alexandria).

Computed properties:
SG: P4/mmm (123)
Formation energy from raw total energies in eV/atom: 1.4154

a b c (Å): 4.495 4.495 4.513
angles (deg): 90.00 90.00 90.00
Fractional positions:
1 V 0.000 0.000 0.000
2 Re 0.000 0.000 0.500
3 Ni 0.000 0.500 0.000
4 Ni 0.500 0.000 0.000
5 I 0.500 0.500 0.500

***

# 9
# AlCd2In

An optimized crystal structure of AlCd2In (PBE-GGA, Alexandria).

Computed properties:
SG: R3m (160)
Polymorph energy (0 for the lowest one) in meV/atom: 14
Energy of formation from the pure elements in eV per atom: 0.09

a b c (Å): 9.850 9.850 9.850
angles (deg): 19.15 19.15 19.15
Fractional positions:
1 Al 0.000 0.000 0.000
2 Cd 0.257 0.257 0.257
3 Cd 0.505 0.505 0.505
4 In 0.750 0.750 0.750

***

# 10
# PmPuBi2

An optimized crystal structure of PmPuBi2 (PBE-GGA, Alexandria).

Computed properties:
SG: P-3m1 (164)
Polymorph energy (0 for the lowest one) in meV/atom: 103
Energy of formation from the pure elements in eV per atom: -0.53

a b c (Å): 4.508 4.508 7.890
angles (deg): 90.00 90.00 120.00
Fractional positions:
1 Pm 0.000 0.000 0.000
2 Pu 0.000 0.000 0.500
3 Bi 0.333 0.667 0.747
4 Bi 0.667 0.333 0.253

***

# 11
# TiSn4Pd

An optimized crystal structure of TiSn4Pd (PBE-GGA, Alexandria).

Computed properties:
SG: I4/mcm (140)
Energy of formation from the pure elements in eV per atom: -0.22

a b c (Å): 7.739 7.739 7.739
angles (deg): 129.93 129.93 73.51
Fractional positions:
1 Ti 0.250 0.250 0.000
2 Ti 0.750 0.750 0.000
3 Sn 0.039 0.539 0.820
4 Sn 0.218 0.039 0.500
5 Sn 0.282 0.782 0.820
6 Sn 0.461 0.282 0.500
7 Sn 0.539 0.718 0.500
8 Sn 0.718 0.218 0.180
9 Sn 0.782 0.961 0.500
10 Sn 0.961 0.461 0.180
11 Pd 0.000 0.000 0.000
12 Pd 0.500 0.500 0.000

***

# 12
# Li3AcIr4O12

An optimized crystal structure of Li3AcIr4O12 (PBE-GGA, Alexandria).

Computed properties:
SG: Im-3 (204)
Formation energy from raw total energies in eV/atom: -1.3238

a b c (Å): 6.585 6.585 6.585
angles (deg): 109.47 109.47 109.47
Fractional positions:
1 Li 0.000 0.500 0.500
2 Li 0.500 0.000 0.500
3 Li 0.500 0.500 0.000
4 Ac 0.000 0.000 0.000
5 Ir 0.000 0.000 0.500
6 Ir 0.000 0.500 0.000
7 Ir 0.500 0.000 0.000
8 Ir 0.500 0.500 0.500
9 O 0.121 0.302 0.819
10 O 0.181 0.483 0.302
11 O 0.181 0.879 0.698
12 O 0.302 0.181 0.483
13 O 0.302 0.819 0.121
14 O 0.483 0.302 0.181
15 O 0.517 0.698 0.819
16 O 0.698 0.181 0.879
17 O 0.698 0.819 0.517
18 O 0.819 0.121 0.302
19 O 0.819 0.517 0.698
20 O 0.879 0.698 0.181